Entry 1:
Crystalline Fe7Ni2Rh3 at its relaxed geometry, computed with PBE.

The structure in POSCAR format:
```
Fe7Ni2Rh3
1.0
4.095 0.000 0.000
0.000 3.992 -0.793
0.000 -0.062 10.134
Fe Rh Ni
7 3 2
direct
0.000 0.721 0.442
0.500 0.078 0.156
0.500 0.922 0.844
0.000 0.576 0.152
0.000 0.424 0.848
0.000 0.000 0.000
0.000 0.279 0.558
0.500 0.500 0.000
0.500 0.655 0.309
0.500 0.345 0.691
0.000 0.850 0.700
0.000 0.150 0.300
```

Summary:
SG: No. 65



Entry 2:
Crystalline FeNiRh2 at its relaxed geometry, computed with PBE.

The structure in POSCAR format:
```
FeNiRh2
1.0
8.552 -0.002 -0.001
8.133 2.644 -0.001
8.133 1.288 2.309
Rh Fe Ni
2 1 1
direct
0.000 0.000 0.000
0.500 0.500 0.500
0.250 0.250 0.250
0.750 0.750 0.750
```

Summary:
SG: No. 166



Entry 3:
Crystalline Fe2Ni2Rh at its relaxed geometry, computed with PBE.

The structure in POSCAR format:
```
Fe2Ni2Rh
1.0
-4.826 4.545 -0.665
-3.438 -4.214 -3.848
-1.201 -0.964 2.129
Ni Fe Rh
4 4 2
direct
0.322 0.178 0.500
0.822 0.322 0.500
0.178 0.678 0.500
0.678 0.822 0.500
0.385 0.885 0.000
0.615 0.115 0.000
0.115 0.385 0.000
0.885 0.615 0.000
0.000 0.000 0.000
0.500 0.500 0.000
```

Summary:
E above lowest polymorph in kJ per mole of atoms: 28.7
SG: No. 127



Entry 4:
Crystalline FeNi2Rh2 at its relaxed geometry, computed with PBE.

The structure in POSCAR format:
```
FeNi2Rh2
1.0
-1.782 1.782 5.685
1.782 -1.782 5.685
1.782 1.782 -5.685
Fe Rh Ni
1 2 2
direct
0.000 0.000 0.000
0.750 0.250 0.500
0.250 0.750 0.500
0.596 0.596 0.000
0.404 0.404 0.000
```

Summary:
E above lowest polymorph in kJ per mole of atoms: 27.9
SG: No. 139



Entry 5:
Crystalline Fe4Ni4Rh5 at its relaxed geometry, computed with PBE.

The structure in POSCAR format:
```
Fe4Ni4Rh5
1.0
3.581 0.000 0.911
1.791 6.705 0.455
0.138 0.000 6.953
Rh Fe Ni
5 4 4
direct
0.457 0.244 0.842
0.543 0.756 0.158
0.701 0.842 0.756
0.299 0.158 0.244
0.000 0.000 0.000
0.236 0.617 0.912
0.852 0.912 0.383
0.764 0.383 0.088
0.148 0.088 0.617
0.609 0.315 0.467
0.076 0.533 0.315
0.924 0.467 0.685
0.391 0.685 0.533
```

Summary:
SG: No. 87



Entry 6:
Crystalline Fe2Ni6Rh at its relaxed geometry, computed with PBE.

The structure in POSCAR format:
```
Fe2Ni6Rh
1.0
2.509 0.004 0.003
1.263 6.937 1.161
1.263 2.638 6.520
Ni Rh Fe
6 1 2
direct
0.672 0.002 0.649
0.326 0.351 0.998
0.502 0.329 0.671
0.326 0.998 0.351
0.502 0.671 0.329
0.672 0.649 0.002
0.000 0.000 0.000
0.152 0.350 0.350
0.850 0.650 0.650
```

Summary:
E above lowest polymorph in kJ per mole of atoms: 10.5
SG: No. 12



Entry 7:
Crystalline Fe5Ni4Rh2 at its relaxed geometry, computed with PBE.

The structure in POSCAR format:
```
Fe5Ni4Rh2
1.0
5.173 0.000 0.000
2.587 4.305 -0.606
2.587 0.201 6.216
Ni Fe Rh
4 5 2
direct
0.291 0.943 0.475
0.293 0.275 0.140
0.707 0.725 0.860
0.709 0.057 0.525
0.000 0.500 0.500
0.214 0.185 0.831
0.786 0.815 0.169
0.230 0.815 0.169
0.770 0.185 0.831
0.711 0.362 0.216
0.289 0.638 0.784
```

Summary:
E above lowest polymorph in kJ per mole of atoms: 7.1
SG: No. 12



Entry 8:
Crystalline Fe4Ni15Rh at its relaxed geometry, computed with PBE.

The structure in POSCAR format:
```
Fe4Ni15Rh
1.0
-1.611 -2.980 1.105
1.203 0.575 3.304
-14.659 9.303 3.720
Ni Fe Rh
15 4 1
direct
0.500 0.500 0.401
0.500 0.500 0.797
0.000 0.500 0.302
0.000 0.500 0.500
0.500 0.500 0.000
0.500 0.000 0.698
0.000 0.500 0.105
0.500 0.000 0.500
0.500 0.000 0.105
0.000 0.500 0.895
0.500 0.000 0.302
0.000 0.500 0.698
0.500 0.000 0.895
0.500 0.500 0.203
0.500 0.500 0.599
0.000 0.000 0.203
0.000 0.000 0.797
0.000 0.000 0.401
0.000 0.000 0.599
0.000 0.000 0.000
```

Summary:
SG: No. 123



no.,final energy (eV/atom),D(E_F) (states/eV/atom),ΔE_f (eV/atom)
1,-7.5121,0.817,0.226
2,-7.1931,1.760,0.044
3,-6.8123,2.453,0.356
4,-6.4549,1.237,0.491
5,-7.2284,1.334,-0.018
6,-6.4909,1.210,0.061
7,-7.1591,0.905,0.127
8,-6.4548,0.997,-0.059